Computed, not measured: a relaxed ScCdFeBi crystal at the PBE level of DFT.

```
4
Lattice="0.000 3.434 3.434 3.434 0.000 3.434 3.434 3.434 0.000" Properties=species:S:1:pos:R:3 pbc="T T T"
Sc 0.000 0.000 0.000
Cd 5.152 5.152 5.152
Fe 3.434 3.434 3.434
Bi 1.717 1.717 1.717
```

Summary:
For the polymorph energy (0 for the lowest one), the calculation gives 0 meV/atom. As for the space-group type: F-43m. The calculation puts the total energy at -0.176 Ha/atom.